<A>
The following is a DFT calculation (PBE) of crystalline MgZnSe at its relaxed geometry.

Crystal system: cubic

Lattice parameters (Å, degrees): 6.9283 6.9283 6.9283 90.00 90.00 90.00
With the nearest neighbours (Å) after each atom.
Fractional coordinates of all 12 atoms:
Mg 0.0516 0.4484 0.5516  3 Se 2.62, 1 Zn 2.64
Mg 0.4484 0.5516 0.0516  3 Se 2.62, 1 Zn 2.64
Mg 0.5516 0.0516 0.4484  3 Se 2.62, 1 Zn 2.64
Mg 0.9484 0.9484 0.9484  3 Se 2.62, 1 Zn 2.64
Zn 0.1685 0.1685 0.1685  1 Se 2.59, 1 Mg 2.64
Zn 0.3315 0.8315 0.6685  1 Se 2.59, 1 Mg 2.64
Zn 0.6685 0.3315 0.8315  1 Se 2.59, 1 Mg 2.64
Zn 0.8315 0.6685 0.3315  1 Se 2.59, 1 Mg 2.64
Se 0.1157 0.6157 0.8843  1 Zn 2.59, 3 Mg 2.62
Se 0.3843 0.3843 0.3843  1 Zn 2.59, 3 Mg 2.62
Se 0.6157 0.8843 0.1157  1 Zn 2.59, 3 Mg 2.62
Se 0.8843 0.1157 0.6157  1 Zn 2.59, 3 Mg 2.62

***

<B>
The following is a DFT calculation (PBE) of crystalline MgZnSe at its relaxed geometry.

Crystal system: orthorhombic

Lattice parameters (Å, degrees): 3.8702 15.6383 6.1024 90.00 90.00 90.00
With the nearest neighbours (Å) after each atom.
Fractional coordinates of all 12 atoms:
Mg 0.2500 0.0614 0.1655  3 Se 2.63-2.70, 1 Zn 2.63
Mg 0.2500 0.4386 0.1655  3 Se 2.63-2.70, 1 Zn 2.63
Mg 0.7500 0.5614 0.8345  3 Se 2.63-2.70, 1 Zn 2.63
Mg 0.7500 0.9386 0.8345  3 Se 2.63-2.70, 1 Zn 2.63
Zn 0.2500 0.0901 0.5909  1 Mg 2.63, 2 Se 2.72
Zn 0.2500 0.4099 0.5909  1 Mg 2.63, 2 Se 2.72
Zn 0.7500 0.5901 0.4091  1 Mg 2.63, 2 Se 2.72
Zn 0.7500 0.9099 0.4091  1 Mg 2.63, 2 Se 2.72
Se 0.2500 0.6091 0.1002  3 Mg 2.63-2.70, 2 Zn 2.72
Se 0.2500 0.8909 0.1002  3 Mg 2.63-2.70, 2 Zn 2.72
Se 0.7500 0.1091 0.8998  3 Mg 2.63-2.70, 2 Zn 2.72
Se 0.7500 0.3909 0.8998  3 Mg 2.63-2.70, 2 Zn 2.72

***

<C>
The following is a DFT calculation (PBE) of crystalline MgZnSe at its relaxed geometry.

Crystal system: tetragonal

Lattice parameters (Å, degrees): 6.4724 6.4724 6.4724 146.59 146.59 47.98
With the nearest neighbours (Å) after each atom.
Fractional coordinates of all 3 atoms:
Mg 0.0000 0.0000 0.0000  1 Zn 2.66, 4 Se 2.73
Zn 0.2250 0.2250 0.0000  1 Se 2.53, 1 Mg 2.66
Se 0.4389 0.4389 0.0000  1 Zn 2.53, 4 Mg 2.73

***

<D>
The following is a DFT calculation (PBE) of crystalline MgZnSe at its relaxed geometry.

Crystal system: tetragonal

Lattice parameters (Å, degrees): 5.1070 5.1070 5.8191 90.00 90.00 90.00
With the nearest neighbours (Å) after each atom.
Fractional coordinates of all 6 atoms:
Mg 0.2500 0.2500 0.1428  4 Se 2.69, 1 Zn 2.73
Mg 0.7500 0.7500 0.8572  4 Se 2.69, 1 Zn 2.73
Zn 0.2500 0.2500 0.6128  1 Mg 2.73
Zn 0.7500 0.7500 0.3872  1 Mg 2.73
Se 0.2500 0.7500 0.0000  4 Mg 2.69
Se 0.7500 0.2500 0.0000  4 Mg 2.69

***

The data favor <A>; the next most stable structure lies 21 meV/atom above it.